# 1
# La2RhPb (GGA-PBE, relaxed)
data_La2RhPb
_chemical_formula_sum 'La2 Rh1 Pb1'
_symmetry_space_group_name_H-M 'P 1 m 1'
_symmetry_Int_Tables_number 6
_cell_length_a 4.6625
_cell_length_b 4.4363
_cell_length_c 6.0655
_cell_angle_alpha 90.00
_cell_angle_beta 112.58
_cell_angle_gamma 90.00
loop_
_symmetry_equiv_pos_as_xyz
'x,y,z'
'x,-y,z'
loop_
_atom_site_label
_atom_site_type_symbol
_atom_site_fract_x
_atom_site_fract_y
_atom_site_fract_z
La1 La 0.0000 0.0000 0.0000
La2 La 0.3022 0.5000 0.6043
Rh1 Rh 0.7698 0.0000 0.5373
Pb1 Pb 0.5944 0.5000 0.1886
# Formation energy from the elements = -0.60 eV/atom
# V = 115.85 Å³ per cell
# Magnetic moment = 0.000 μB per atom

=====

# 2
# ReAgOs2 (GGA-PBE, relaxed)
data_ReAgOs2
_chemical_formula_sum 'Re2 Ag2 Os4'
_symmetry_space_group_name_H-M 'I 4/m m m'
_symmetry_Int_Tables_number 139
_symmetry_space_group_name_Hall '-I 4 2'
_cell_length_a 3.9549
_cell_length_b 3.9549
_cell_length_c 7.6988
_cell_angle_alpha 90.00
_cell_angle_beta 90.00
_cell_angle_gamma 90.00
loop_
_atom_site_label
_atom_site_type_symbol
_atom_site_fract_x
_atom_site_fract_y
_atom_site_fract_z
Re1 Re 0.0000 0.0000 0.0000
Ag1 Ag 0.0000 0.0000 0.5000
Os1 Os 0.0000 0.5000 0.2500
# Formation energy from the elements = 0.63 eV/atom
# V = 120.42 Å³ per cell
# Magnetic moment = 0.000 μB per atom
# E above lowest polymorph = 365.1 meV/atom

=====

# 3
# TmAl3Ga3 (GGA-PBE, relaxed)
data_TmAl3Ga3
_chemical_formula_sum 'Tm2 Al6 Ga6'
_symmetry_space_group_name_H-M 'P m -3 n'
_symmetry_Int_Tables_number 223
_symmetry_space_group_name_Hall '-P 4n 2 3'
_cell_length_a 6.9745
_cell_length_b 6.9745
_cell_length_c 6.9745
_cell_angle_alpha 90.00
_cell_angle_beta 90.00
_cell_angle_gamma 90.00
loop_
_atom_site_label
_atom_site_type_symbol
_atom_site_fract_x
_atom_site_fract_y
_atom_site_fract_z
Tm1 Tm 0.0000 0.0000 0.0000
Al1 Al 0.0000 0.2500 0.5000
Ga1 Ga 0.0000 0.5000 0.2500
# Formation energy from the elements = 0.33 eV/atom
# V = 339.26 Å³ per cell
# Magnetic moment = 0.000 μB per atom
# E above lowest polymorph = 487.2 meV/atom

=====

# 4
# RbAgPt4 (GGA-PBE, relaxed)
data_RbAgPt4
_chemical_formula_sum 'Rb4 Ag4 Pt16'
_symmetry_space_group_name_H-M 'F -4 3 m'
_symmetry_Int_Tables_number 216
_symmetry_space_group_name_Hall 'F -4 2 3'
_cell_length_a 7.7395
_cell_length_b 7.7395
_cell_length_c 7.7395
_cell_angle_alpha 90.00
_cell_angle_beta 90.00
_cell_angle_gamma 90.00
loop_
_atom_site_label
_atom_site_type_symbol
_atom_site_fract_x
_atom_site_fract_y
_atom_site_fract_z
Rb1 Rb 0.0000 0.0000 0.0000
Ag1 Ag 0.2500 0.2500 0.2500
Pt1 Pt 0.1248 0.1248 0.6248
# Formation energy from the elements = 0.10 eV/atom
# V = 463.59 Å³ per cell
# Magnetic moment = 0.000 μB per atom